Entry from Alexandria: a relaxed structure of VCoO (PBE with a Hubbard U).

Calculated values
E_tot = -6.267 eV/atom
Size of the total moment = 2.48 μB/cell
Energy relative to the lowest polymorph listed for this composition = 103 meV per atom

Cell: 12.161 3.010 4.343 Å, 90.00 102.87 90.00°
Element x y z (fractional)
V 0.139 0.000 0.338
V 0.361 0.500 0.662
V 0.639 0.500 0.338
V 0.861 0.000 0.662
Co 0.054 0.500 0.797
Co 0.446 0.000 0.203
Co 0.554 0.000 0.797
Co 0.946 0.500 0.203
O 0.191 0.500 0.653
O 0.309 0.000 0.347
O 0.691 0.000 0.653
O 0.809 0.500 0.347